DFT (PBE) results for a relaxed structure of CsNa3Zr.

Geometry as CIF:
```
data_CsNa3Zr
_cell_length_a 5.789
_cell_length_b 5.789
_cell_length_c 5.789
_cell_angle_alpha 90.00
_cell_angle_beta 90.00
_cell_angle_gamma 90.00
_symmetry_space_group_name_H-M 'P m -3 m'
_symmetry_Int_Tables_number 221
_symmetry_space_group_name_Hall '-P 4 2 3'
loop_
_atom_site_label
_atom_site_fract_x
_atom_site_fract_y
_atom_site_fract_z
_atom_site_occupancy
Cs1 0.000 0.000 0.000 1
Na1 0.000 0.000 0.500 1
Zr1 0.500 0.500 0.500 1
```

Calculated values
* magnetic moment: 3.922 μB per formula unit
* E above lowest polymorph: 422 meV per atom
* theoretical density: 2.5 g/cm³
* calculated formation energy: 1.298 eV per atom
* energy: -1.374 eV/atom